# MnCd2Se2 GGA-PBE relaxed
data_MnCd2Se2
_cell_length_a 5.381
_cell_length_b 5.381
_cell_length_c 8.521
_cell_angle_alpha 90.00
_cell_angle_beta 90.00
_cell_angle_gamma 90.00
_space_group_name_H-M_alt 'P 1'
_space_group_IT_number 1
loop_
_space_group_symop_operation_xyz
'x,y,z'
loop_
_atom_site_label
_atom_site_fract_x
_atom_site_fract_y
_atom_site_fract_z
_atom_site_occupancy
Mn1 0.000 0.000 0.000 1
Mn2 0.500 0.500 0.500 1
Cd1 0.000 0.000 0.339 1
Cd2 0.000 0.000 0.661 1
Cd3 0.500 0.500 0.161 1
Cd4 0.500 0.500 0.839 1
Se1 0.000 0.500 0.250 1
Se2 0.000 0.500 0.750 1
Se3 0.500 0.000 0.250 1
Se4 0.500 0.000 0.750 1
# * Fermi-level density of states: 4.173 states/eV per cell
# * E_form (uncorrected): 185 meV/atom
# * space-group type: No. 139
# * size of the total moment: 4.8 μB per formula unit